Record 1
# Ga3PbI12, relaxed, DFT PBE
data_Ga3PbI12
_space_group_name_H-M_alt 'R 3 c'
_space_group_IT_number 161
_space_group_name_Hall 'R 3 -2"c'
_cell_length_a 12.4753
_cell_length_b 12.4753
_cell_length_c 40.4190
_cell_angle_alpha 90.00
_cell_angle_beta 90.00
_cell_angle_gamma 120.00
loop_
_atom_site_label
_atom_site_type_symbol
_atom_site_fract_x
_atom_site_fract_y
_atom_site_fract_z
Ga1 Ga 0.0193 0.3482 0.0000
Pb1 Pb 0.0000 0.0000 0.3386
I1 I 0.0335 0.2254 0.3880
I2 I 0.0844 0.2330 0.2871
I3 I 0.0936 0.2061 0.4927
I4 I 0.1055 0.5508 0.3333
# Raw total energy ... -2.412 eV per atom
# Calculated volume ... 5447.7 Å³/cell
# Total moment ... 0.05 μB/atom


Record 2
# Ga2Pb2I, relaxed, DFT PBE
data_Ga2Pb2I
_space_group_name_H-M_alt 'P 4/m b m'
_space_group_IT_number 127
_space_group_name_Hall '-P 4 2ab'
_cell_length_a 8.681
_cell_length_b 8.681
_cell_length_c 3.798
_cell_angle_alpha 90.00
_cell_angle_beta 90.00
_cell_angle_gamma 90.00
loop_
_atom_site_label
_atom_site_type_symbol
_atom_site_fract_x
_atom_site_fract_y
_atom_site_fract_z
Ga1 Ga 0.110 0.390 0.000
Pb1 Pb 0.190 0.690 0.500
I1 I 0.000 0.000 0.000
# Raw total energy ... -2.953 eV per atom
# Calculated volume ... 286.2 Å³/cell
# Excess energy over the best structure of this formula in the dataset ... 0.526 eV per formula unit
# Total moment ... 0.00 μB/atom


Record 3
# Ga2PbI8, relaxed, DFT PBE
data_Ga2PbI8
_space_group_name_H-M_alt 'C 1 2/m 1'
_space_group_IT_number 12
_cell_length_a 13.969
_cell_length_b 11.471
_cell_length_c 7.221
_cell_angle_alpha 90.00
_cell_angle_beta 98.35
_cell_angle_gamma 90.00
loop_
_space_group_symop_operation_xyz
'x,y,z'
'-x,-y,-z'
'-x,y,-z'
'x,-y,z'
'x+1/2,y+1/2,z'
'-x+1/2,-y+1/2,-z'
'-x+1/2,y+1/2,-z'
'x+1/2,-y+1/2,z'
loop_
_atom_site_label
_atom_site_type_symbol
_atom_site_fract_x
_atom_site_fract_y
_atom_site_fract_z
Ga1 Ga 0.204 0.000 0.161
Pb1 Pb 0.000 0.000 0.500
I1 I 0.111 0.183 0.259
I2 I 0.119 0.500 0.694
I3 I 0.203 0.000 0.798
# Raw total energy ... -2.550 eV per atom
# Calculated volume ... 1144.8 Å³/cell
# Excess energy over the best structure of this formula in the dataset ... 0.031 eV per formula unit
# Total moment ... 0.00 μB/atom


Record 4
# Ga2PbI4, relaxed, DFT PBE
data_Ga2PbI4
_space_group_name_H-M_alt 'C 1 2/m 1'
_space_group_IT_number 12
_cell_length_a 17.688
_cell_length_b 4.629
_cell_length_c 8.217
_cell_angle_alpha 90.00
_cell_angle_beta 117.28
_cell_angle_gamma 90.00
loop_
_space_group_symop_operation_xyz
'x,y,z'
'-x,-y,-z'
'-x,y,-z'
'x,-y,z'
'x+1/2,y+1/2,z'
'-x+1/2,-y+1/2,-z'
'-x+1/2,y+1/2,-z'
'x+1/2,-y+1/2,z'
loop_
_atom_site_label
_atom_site_type_symbol
_atom_site_fract_x
_atom_site_fract_y
_atom_site_fract_z
Ga1 Ga 0.236 0.000 0.256
Pb1 Pb 0.000 0.500 0.500
I1 I 0.121 0.000 0.778
I2 I 0.130 0.500 0.317
# Raw total energy ... -2.735 eV per atom
# Calculated volume ... 598.0 Å³/cell
# Excess energy over the best structure of this formula in the dataset ... 0.000 eV per formula unit
# Total moment ... 0.00 μB/atom


Record 5
# Ga2Pb2I, relaxed, DFT PBE
data_Ga2Pb2I
_space_group_name_H-M_alt 'P 4/m b m'
_space_group_IT_number 127
_space_group_name_Hall '-P 4 2ab'
_cell_length_a 9.051
_cell_length_b 9.051
_cell_length_c 3.673
_cell_angle_alpha 90.00
_cell_angle_beta 90.00
_cell_angle_gamma 90.00
loop_
_atom_site_label
_atom_site_type_symbol
_atom_site_fract_x
_atom_site_fract_y
_atom_site_fract_z
Ga1 Ga 0.104 0.396 0.000
Pb1 Pb 0.195 0.695 0.500
I1 I 0.000 0.000 0.500
# Raw total energy ... -2.967 eV per atom
# Calculated volume ... 300.8 Å³/cell
# Excess energy over the best structure of this formula in the dataset ... 0.456 eV per formula unit
# Total moment ... 0.00 μB/atom


Record 6
# Ga6PbI12, relaxed, DFT PBE
data_Ga6PbI12
_space_group_name_H-M_alt 'P -1'
_space_group_IT_number 2
_cell_length_a 10.167
_cell_length_b 10.504
_cell_length_c 10.855
_cell_angle_alpha 104.51
_cell_angle_beta 112.99
_cell_angle_gamma 108.25
loop_
_space_group_symop_operation_xyz
'x,y,z'
'-x,-y,-z'
loop_
_atom_site_label
_atom_site_type_symbol
_atom_site_fract_x
_atom_site_fract_y
_atom_site_fract_z
Ga1 Ga 0.036 0.154 0.230
Ga2 Ga 0.096 0.944 0.080
Ga3 Ga 0.238 0.175 0.019
Pb1 Pb 0.000 0.500 0.000
I1 I 0.107 0.437 0.295
I2 I 0.205 0.360 0.894
I3 I 0.214 0.150 0.472
I4 I 0.273 0.982 0.823
I5 I 0.298 0.831 0.196
I6 I 0.497 0.681 0.734
# Raw total energy ... -2.498 eV per atom
# Calculated volume ... 916.7 Å³/cell
# Total moment ... 0.00 μB/atom